## Ba6Tl3In (PBE-GGA)

Data for Ba6Tl3In after structural relaxation.

```
Ba6Tl3In
1.0
6.029 0.000 -0.075
0.000 10.496 0.000
0.178 0.000 14.268
Ba Tl In
12 6 2
Cartesian
3.179 1.780 13.073
3.118 1.732 8.213
3.059 5.235 3.542
3.148 5.262 10.650
3.089 8.764 5.979
3.029 8.716 1.120
0.075 3.468 5.977
0.014 3.516 1.117
0.134 0.014 10.714
6.073 10.483 3.478
6.193 6.981 13.076
6.132 7.028 8.216
3.161 8.747 11.615
3.014 5.248 -0.038
3.047 1.749 2.577
0.057 6.997 4.519
0.089 0.000 7.134
6.150 3.499 9.674
3.104 5.248 7.096
0.000 0.000 0.000
```

Values from the calculation:
- Spin magnetization: 0.000 μB per atom
- Crystal system: orthorhombic
- Raw total energy: -48.729 eV for the cell shown
- Symmetry: Pnnm (58)